No. 1
Crystalline Pr12Nd5Ho2 at its relaxed geometry. Source: Alexandria, functional PBE.

Results
- theoretical density (Mg/m³) = 6.62

a b c (Å): 22.792 7.240 8.905
angles (deg): 90.00 110.57 90.00
Space group C2/m (No. 12)
Symmetry-distinct sites (fractional):
1 Pr 0.049 0.000 0.197
2 Pr 0.106 0.244 0.883
3 Pr 0.140 0.500 0.551
4 Pr 0.201 0.247 0.294
5 Nd 0.000 0.500 0.000
6 Nd 0.149 0.000 0.596
7 Nd 0.248 0.500 0.989
8 Ho 0.000 0.241 0.500

=====

No. 2
Crystalline Pr12NdHo6 at its relaxed geometry. Source: Alexandria, functional PBE.

Results
- theoretical density (Mg/m³) = 6.87

a b c (Å): 14.9735 14.9735 10.5413
angles (deg): 90.00 90.00 120.00
Space group R-3 (No. 148, hexagonal axes)
Symmetry-distinct sites (fractional):
1 Pr 0.0543 0.8011 0.0808
2 Pr 0.0635 0.8398 0.4179
3 Nd 0.0000 0.0000 0.0000
4 Ho 0.0514 0.8339 0.7589

=====

No. 3
Crystalline Pr2NdHo4 at its relaxed geometry. Source: Alexandria, functional PBE.

Results
- theoretical density (Mg/m³) = 7.57

a b c (Å): 9.837 9.837 9.839
angles (deg): 90.00 90.00 90.00
Space group I-42d (No. 122)
Symmetry-distinct sites (fractional):
1 Pr 0.125 0.250 0.125
2 Nd 0.000 0.000 0.500
3 Ho 0.082 0.168 0.793

=====

No. 4
Crystalline Pr2Nd4Ho5 at its relaxed geometry. Source: Alexandria, functional PBE.

Results
- theoretical density (Mg/m³) = 7.55

a b c (Å): 19.729 5.875 6.413
angles (deg): 90.00 94.77 90.00
Space group C2/m (No. 12)
Symmetry-distinct sites (fractional):
1 Pr 0.099 0.000 0.044
2 Nd 0.035 0.500 0.766
3 Nd 0.194 0.000 0.573
4 Ho 0.000 0.000 0.500
5 Ho 0.131 0.500 0.356
6 Ho 0.214 0.500 0.893

=====

No. 5
Crystalline Pr2Nd5Ho3 at its relaxed geometry. Source: Alexandria, functional PBE.

Results
- theoretical density (Mg/m³) = 6.83

a b c (Å): 9.529 22.191 6.888
angles (deg): 90.00 90.00 90.00
Space group Ibam (No. 72)
Symmetry-distinct sites (fractional):
1 Pr 0.100 0.121 0.000
2 Nd 0.000 0.247 0.250
3 Nd 0.000 0.500 0.250
4 Nd 0.093 0.373 0.500
5 Ho 0.000 0.000 0.250
6 Ho 0.247 0.119 0.500

=====

No. 6
Crystalline PrNdHo14 at its relaxed geometry. Source: Alexandria, functional PBE.

Results
- theoretical density (Mg/m³) = 8.55

a b c (Å): 11.465 7.131 12.321
angles (deg): 90.00 90.00 90.00
Space group Amm2 (No. 38)
Symmetry-distinct sites (fractional):
1 Pr 0.000 0.000 0.000
2 Nd 0.000 0.000 0.500
3 Ho 0.000 0.250 0.250
4 Ho 0.252 0.000 0.168
5 Ho 0.252 0.000 0.667
6 Ho 0.254 0.250 0.417
7 Ho 0.500 0.000 0.334
8 Ho 0.500 0.000 0.834
9 Ho 0.500 0.250 0.084

=====

No. 7
Crystalline Pr2NdHo2 at its relaxed geometry. Source: Alexandria, functional PBE.

Results
- theoretical density (Mg/m³) = 7.12

a b c (Å): 8.746 13.409 6.404
angles (deg): 90.00 110.11 90.00
Space group C2/c (No. 15)
Symmetry-distinct sites (fractional):
1 Pr 0.178 0.063 0.421
2 Nd 0.000 0.428 0.750
3 Ho 0.000 0.179 0.750
4 Ho 0.000 0.301 0.250

=====

No. 8
Crystalline PrNd2Ho9 at its relaxed geometry. Source: Alexandria, functional PBE.

Results
- theoretical density (Mg/m³) = 8.27

a b c (Å): 5.042 5.042 15.124
angles (deg): 90.00 90.00 90.00
Space group P4/mmm (No. 123)
Symmetry-distinct sites (fractional):
1 Pr 0.000 0.000 0.000
2 Nd 0.000 0.000 0.333
3 Ho 0.000 0.500 0.167
4 Ho 0.000 0.500 0.500
5 Ho 0.500 0.500 0.000
6 Ho 0.500 0.500 0.334

=====

No. 9
Crystalline Pr3Nd6Ho at its relaxed geometry. Source: Alexandria, functional PBE.

Results
- theoretical density (Mg/m³) = 6.66

a b c (Å): 11.679 7.073 8.964
angles (deg): 90.00 102.08 90.00
Space group C2/m (No. 12)
Symmetry-distinct sites (fractional):
1 Pr 0.000 0.000 0.000
2 Pr 0.035 0.500 0.340
3 Nd 0.161 0.500 0.993
4 Nd 0.245 0.271 0.687
5 Ho 0.000 0.000 0.500

=====

No. 10
Crystalline Pr5Nd3Ho2 at its relaxed geometry. Source: Alexandria, functional PBE.

Results
- theoretical density (Mg/m³) = 6.53

a b c (Å): 9.600 13.845 11.227
angles (deg): 90.00 90.00 90.00
Space group Ibam (No. 72)
Symmetry-distinct sites (fractional):
1 Pr 0.000 0.000 0.250
2 Pr 0.000 0.251 0.250
3 Pr 0.104 0.122 0.000
4 Nd 0.000 0.500 0.250
5 Nd 0.249 0.126 0.500
6 Ho 0.084 0.376 0.500

=====

No. 11
Crystalline Pr4Nd3Ho3 at its relaxed geometry. Source: Alexandria, functional PBE.

Results
- theoretical density (Mg/m³) = 7.09

a b c (Å): 3.870 13.465 13.404
angles (deg): 90.00 90.00 90.00
Space group Amm2 (No. 38)
Symmetry-distinct sites (fractional):
1 Pr 0.000 0.000 0.000
2 Pr 0.000 0.000 0.258
3 Pr 0.000 0.131 0.626
4 Nd 0.000 0.246 0.379
5 Nd 0.500 0.000 0.796
6 Ho 0.500 0.000 0.459
7 Ho 0.500 0.169 0.129

=====

No. 12
Crystalline PrNd12Ho7 at its relaxed geometry. Source: Alexandria, functional PBE.

Results
- theoretical density (Mg/m³) = 6.42

a b c (Å): 11.612 11.612 11.612
angles (deg): 90.00 90.00 90.00
Space group Im-3 (No. 204)
Symmetry-distinct sites (fractional):
1 Pr 0.000 0.000 0.000
2 Nd 0.000 0.256 0.253
3 Ho 0.000 0.000 0.500
4 Ho 0.250 0.250 0.250

=====

No. 13
Crystalline Pr3Nd3Ho8 at its relaxed geometry. Source: Alexandria, functional PBE.

Results
- theoretical density (Mg/m³) = 7.66

a b c (Å): 5.706 10.798 15.296
angles (deg): 90.00 90.00 90.00
Space group Immm (No. 71)
Symmetry-distinct sites (fractional):
1 Pr 0.000 0.000 0.000
2 Pr 0.000 0.500 0.312
3 Nd 0.000 0.000 0.500
4 Nd 0.000 0.303 0.500
5 Ho 0.000 0.162 0.280
6 Ho 0.000 0.340 0.102

=====

No. 14
Crystalline PrNd3Ho4 at its relaxed geometry. Source: Alexandria, functional PBE.

Results
- theoretical density (Mg/m³) = 7.64

a b c (Å): 11.593 7.332 6.310
angles (deg): 90.00 90.00 90.00
Space group Pmn2_1 (No. 31)
Symmetry-distinct sites (fractional):
1 Pr 0.000 0.128 0.000
2 Nd 0.000 0.872 0.500
3 Nd 0.250 0.129 0.337
4 Ho 0.000 0.379 0.502
5 Ho 0.000 0.620 0.002
6 Ho 0.250 0.379 0.835

=====

No. 15
Crystalline Pr7Nd2Ho4 at its relaxed geometry. Source: Alexandria, functional PBE.

Results
- theoretical density (Mg/m³) = 7.11

a b c (Å): 6.2640 6.2640 13.2940
angles (deg): 90.00 90.00 120.00
Space group P-31m (No. 162)
Symmetry-distinct sites (fractional):
1 Pr 0.0000 0.0000 0.0000
2 Pr 0.0000 0.3729 0.2265
3 Nd 0.3333 0.6667 0.0000
4 Ho 0.0000 0.0000 0.3929
5 Ho 0.3333 0.6667 0.5000

=====

No. 16
Crystalline Pr6Nd5Ho2 at its relaxed geometry. Source: Alexandria, functional PBE.

Results
- theoretical density (Mg/m³) = 6.82

a b c (Å): 11.886 21.136 3.677
angles (deg): 90.00 90.00 90.00
Space group Pbam (No. 55)
Symmetry-distinct sites (fractional):
1 Pr 0.063 0.081 0.000
2 Pr 0.083 0.368 0.000
3 Pr 0.174 0.639 0.500
4 Nd 0.000 0.500 0.500
5 Nd 0.087 0.227 0.500
6 Nd 0.197 0.945 0.500
7 Ho 0.169 0.790 0.000

=====

No. 17
Crystalline PrNd5Ho2 at its relaxed geometry. Source: Alexandria, functional PBE.

Results
- theoretical density (Mg/m³) = 7.24

a b c (Å): 7.288 14.576 5.147
angles (deg): 90.00 90.00 90.00
Space group Pbam (No. 55)
Symmetry-distinct sites (fractional):
1 Pr 0.000 0.000 0.000
2 Nd 0.000 0.500 0.000
3 Nd 0.001 0.250 0.000
4 Nd 0.249 0.625 0.500
5 Ho 0.250 0.375 0.500

=====

No. 18
Crystalline Pr3Nd3Ho2 at its relaxed geometry. Source: Alexandria, functional PBE.

Results
- theoretical density (Mg/m³) = 7.07

a b c (Å): 16.763 5.853 6.091
angles (deg): 90.00 111.26 90.00
Space group C2/m (No. 12)
Symmetry-distinct sites (fractional):
1 Pr 0.000 0.000 0.000
2 Pr 0.135 0.000 0.691
3 Nd 0.000 0.500 0.500
4 Nd 0.135 0.500 0.080
5 Ho 0.250 0.000 0.318

=====

| no. | formation enthalpy at 0 K (meV/atom) |
| --- | --- |
| 1 | 128 |
| 2 | 231 |
| 3 | 263 |
| 4 | 99 |
| 5 | 365 |
| 6 | 9 |
| 7 | 275 |
| 8 | 23 |
| 9 | 252 |
| 10 | 346 |
| 11 | 97 |
| 12 | 669 |
| 13 | 107 |
| 14 | 29 |
| 15 | 172 |
| 16 | 90 |
| 17 | 12 |
| 18 | 70 |